DFT (GGA+U) results for an optimized crystal structure of HfTiCo2O6.

The calculation puts the total magnetization at 18.02 μB/cell. The energy comes out at -8.14 eV per atom. The calculation puts the density of states at the Fermi level at 0.00 states/eV/cell.

Geometry as CIF:
```
data_HfTiCo2O6
_chemical_formula_sum 'Hf3 Ti3 Co6 O18'
_space_group_name_H-M_alt 'R 3'
_space_group_IT_number 146
_space_group_name_Hall 'R 3'
_cell_length_a 5.2111
_cell_length_b 5.2111
_cell_length_c 14.1481
_cell_angle_alpha 90.00
_cell_angle_beta 90.00
_cell_angle_gamma 120.00
loop_
_atom_site_label
_atom_site_fract_x
_atom_site_fract_y
_atom_site_fract_z
Hf1 0.0000 0.0000 0.0000
Ti1 0.0000 0.0000 0.4984
Co1 0.0000 0.0000 0.2137
Co2 0.0000 0.0000 0.7082
O1 0.0061 0.3686 0.7691
O2 0.0155 0.7104 0.5995
```